# 1
Density functional theory data (GGA-PBE) for crystalline ZrGaF6 at its relaxed geometry.

**Total magnetization**: 0.001 μB per formula unit
**Volume**: 15.357 Å³/atom
**D(E_F)**: 5.0 states/eV/cell
**ΔE_f (raw)**: -2950 meV per atom
**Mass density**: 3.72 Mg/m³
**SG**: C2/m, No. 12

Cell and atoms, written as CIF:
```
data_ZrGaF6
_chemical_formula_sum 'Zr2 Ga2 F12'
_cell_length_a 5.354
_cell_length_b 8.792
_cell_length_c 5.344
_cell_angle_alpha 90.00
_cell_angle_beta 102.38
_cell_angle_gamma 90.00
_symmetry_space_group_name_H-M 'P 1'
_symmetry_Int_Tables_number 1
loop_
_symmetry_equiv_pos_as_xyz
'x,y,z'
loop_
_atom_site_label
_atom_site_type_symbol
_atom_site_fract_x
_atom_site_fract_y
_atom_site_fract_z
_atom_site_occupancy
Zr1 Zr 0.000 0.000 0.000 1
Zr2 Zr 0.500 0.500 0.000 1
Ga1 Ga 0.000 0.500 0.500 1
Ga2 Ga 0.500 0.000 0.500 1
F1 F 0.241 0.147 0.239 1
F2 F 0.241 0.853 0.239 1
F3 F 0.244 0.000 0.752 1
F4 F 0.256 0.500 0.248 1
F5 F 0.259 0.353 0.761 1
F6 F 0.259 0.647 0.761 1
F7 F 0.741 0.353 0.239 1
F8 F 0.741 0.647 0.239 1
F9 F 0.744 0.500 0.752 1
F10 F 0.756 0.000 0.248 1
F11 F 0.759 0.147 0.761 1
F12 F 0.759 0.853 0.761 1
```

# 2
Density functional theory data (GGA-PBE) for crystalline ZrGaF5 at its relaxed geometry.

**Total magnetization**: 0.000 μB per formula unit
**Volume**: 20.405 Å³/atom
**D(E_F)**: 0.0 states/eV/cell
**ΔE_f (raw)**: -3074 meV per atom
**Mass density**: 2.98 Mg/m³
**SG**: C2/c, No. 15

Cell and atoms, written as CIF:
```
data_ZrGaF5
_chemical_formula_sum 'Zr2 Ga2 F10'
_cell_length_a 6.268
_cell_length_b 6.268
_cell_length_c 8.273
_cell_angle_alpha 109.26
_cell_angle_beta 109.26
_cell_angle_gamma 75.19
_symmetry_space_group_name_H-M 'P 1'
_symmetry_Int_Tables_number 1
loop_
_symmetry_equiv_pos_as_xyz
'x,y,z'
loop_
_atom_site_label
_atom_site_type_symbol
_atom_site_fract_x
_atom_site_fract_y
_atom_site_fract_z
_atom_site_occupancy
Zr1 Zr 0.000 0.000 0.000 1
Zr2 Zr 0.000 0.000 0.500 1
Ga1 Ga 0.491 0.509 0.750 1
Ga2 Ga 0.509 0.491 0.250 1
F1 F 0.062 0.938 0.250 1
F2 F 0.206 0.237 0.607 1
F3 F 0.237 0.206 0.107 1
F4 F 0.245 0.731 0.936 1
F5 F 0.269 0.755 0.564 1
F6 F 0.731 0.245 0.436 1
F7 F 0.755 0.269 0.064 1
F8 F 0.763 0.794 0.893 1
F9 F 0.794 0.763 0.393 1
F10 F 0.938 0.062 0.750 1
```

# 3
Density functional theory data (GGA-PBE) for crystalline GdF5 at its relaxed geometry.

**Total magnetization**: 9.023 μB per formula unit
**Volume**: 12.726 Å³/atom
**D(E_F)**: 5.8 states/eV/cell
**ΔE_f (raw)**: -2417 meV per atom
**Mass density**: 5.49 Mg/m³
**SG**: Cmmm, No. 65

Cell and atoms, written as CIF:
```
data_GdF5
_chemical_formula_sum 'Gd2 F10'
_cell_length_a 3.921
_cell_length_b 9.545
_cell_length_c 4.081
_cell_angle_alpha 90.00
_cell_angle_beta 90.00
_cell_angle_gamma 90.00
_symmetry_space_group_name_H-M 'P 1'
_symmetry_Int_Tables_number 1
loop_
_symmetry_equiv_pos_as_xyz
'x,y,z'
loop_
_atom_site_label
_atom_site_type_symbol
_atom_site_fract_x
_atom_site_fract_y
_atom_site_fract_z
_atom_site_occupancy
Gd1 Gd 0.000 0.000 0.000 1
Gd2 Gd 0.500 0.500 0.000 1
F1 F 0.000 0.134 0.500 1
F2 F 0.000 0.362 0.000 1
F3 F 0.000 0.500 0.500 1
F4 F 0.000 0.638 0.000 1
F5 F 0.000 0.866 0.500 1
F6 F 0.500 0.000 0.500 1
F7 F 0.500 0.138 0.000 1
F8 F 0.500 0.366 0.500 1
F9 F 0.500 0.634 0.500 1
F10 F 0.500 0.862 0.000 1
```